[1]
SrTe2Br meta-GGA SCAN PBEsol geometry; size of the total moment = 0.0 μB/cell; energy relative to the lowest polymorph listed for this composition = 0.942 eV per formula unit; ΔE_f (raw) = -415 kJ/mol of formula units; density of states at the Fermi level = 1.91 states/eV per cell; VASP energy = -30.14 eV/atom
1.0
-2.5229 3.1805 4.0733
2.5229 -3.1805 4.0733
2.5229 3.1805 -4.0733
Sr Te Br
1 2 1
direct
0.0000 0.0000 0.0000
0.5144 0.5144 0.0000
0.6737 0.1737 0.5000
0.2174 0.7174 0.5000

---

[2]
SrCd2W meta-GGA SCAN PBEsol geometry; size of the total moment = 0.0 μB/cell; energy relative to the lowest polymorph listed for this composition = 0.000 eV per formula unit; DFT formation energy = 2.3 eV/f.u.; density of states at the Fermi level = 2.61 states/eV per cell; VASP energy = -37.63 eV/atom
1.0
2.9352 0.0000 0.0000
0.0000 2.9352 0.0000
0.0000 0.0000 9.6717
Sr Cd W
1 2 1
direct
0.0000 0.0000 0.0000
0.5000 0.5000 0.2776
0.5000 0.5000 0.7224
0.0000 0.0000 0.5000

---

[3]
MgFe3Ag meta-GGA SCAN PBEsol geometry; size of the total moment = 8.5 μB/cell; DFT formation energy = 7.8 eV/f.u.; density of states at the Fermi level = 3.95 states/eV per cell; VASP energy = -16.59 eV/atom
1.0
4.3608 0.0000 0.0000
0.0000 4.3608 0.0000
0.0000 0.0000 4.3608
Mg Fe Ag
1 3 1
direct
0.0000 0.0000 0.0000
0.0000 0.0000 0.5000
0.0000 0.5000 0.0000
0.5000 0.0000 0.0000
0.5000 0.5000 0.5000

---

[4]
Fe2BTe meta-GGA SCAN PBEsol geometry; size of the total moment = 1.3 μB/cell; ΔE_f (raw) = 335 kJ/mol of formula units; density of states at the Fermi level = 2.94 states/eV per cell; VASP energy = -19.37 eV/atom
1.0
0.0000 2.8423 2.8423
2.8423 0.0000 2.8423
2.8423 2.8423 0.0000
Fe B Te
2 1 1
direct
0.2500 0.2500 0.2500
0.7500 0.7500 0.7500
0.0000 0.0000 0.0000
0.5000 0.5000 0.5000

---

[5]
Zn11Ir2 meta-GGA SCAN PBEsol geometry; size of the total moment = 0.0 μB/cell; DFT formation energy = -3.0 eV/f.u.; density of states at the Fermi level = 9.89 states/eV per cell; VASP energy = -22.60 eV/atom
1.0
-4.4909 4.4909 4.4909
4.4909 -4.4909 4.4909
4.4909 4.4909 -4.4909
Zn Ir
22 4
direct
0.0000 0.0000 0.7874
0.0000 0.2680 0.6494
0.0000 0.3567 0.3567
0.0000 0.6433 0.6433
0.0000 0.6494 0.2680
0.0000 0.7874 0.0000
0.2126 0.2126 0.2126
0.2680 0.0000 0.6494
0.2680 0.6494 0.0000
0.3506 0.3506 0.6187
0.3506 0.6187 0.3506
0.3567 0.0000 0.3567
0.3567 0.3567 0.0000
0.3813 0.7320 0.7320
0.6187 0.3506 0.3506
0.6433 0.0000 0.6433
0.6433 0.6433 0.0000
0.6494 0.0000 0.2680
0.6494 0.2680 0.0000
0.7320 0.3813 0.7320
0.7320 0.7320 0.3813
0.7874 0.0000 0.0000
0.0000 0.0000 0.3464
0.0000 0.3464 0.0000
0.3464 0.0000 0.0000
0.6536 0.6536 0.6536

---

[6]
La3PI meta-GGA SCAN PBEsol geometry; size of the total moment = 2.7 μB/cell; ΔE_f (raw) = -351 kJ/mol of formula units; density of states at the Fermi level = 6.48 states/eV per cell; VASP energy = -36.02 eV/atom
1.0
5.5547 0.0000 0.0000
0.0000 5.5547 0.0000
0.0000 0.0000 5.5547
La P I
3 1 1
direct
0.0000 0.0000 0.5000
0.0000 0.5000 0.0000
0.5000 0.0000 0.0000
0.0000 0.0000 0.0000
0.5000 0.5000 0.5000